Computed, not measured: a geometry-optimized PmNd7Er4 structure at the GGA-PBE level of DFT.

Computed properties:
SG	C2/m, No. 12
total moment	0.0	μB/f.u.

Cell: 6.769 6.769 12.805 Å, 114.82 114.82 52.90°
Positions (direct):
Pm1 0.000 0.000 0.000
Nd1 0.059 0.059 0.326
Nd2 0.210 0.210 0.920
Nd3 0.369 0.369 0.497
Nd4 0.500 0.500 0.000
Nd5 0.631 0.631 0.503
Nd6 0.790 0.790 0.080
Nd7 0.941 0.941 0.674
Er1 0.250 0.250 0.683
Er2 0.361 0.361 0.225
Er3 0.639 0.639 0.775
Er4 0.750 0.750 0.317


Computed, not measured: a geometry-optimized PmNd2Er2 structure at the GGA-PBE level of DFT.

Computed properties:
SG	R-3m, No. 166
total moment	0.0	μB/f.u.

Cell: 14.777 14.777 14.777 Å, 14.08 14.08 14.08°
Positions (direct):
Pm1 0.000 0.000 0.000
Nd1 0.131 0.131 0.131
Nd2 0.869 0.869 0.869
Er1 0.268 0.268 0.268
Er2 0.732 0.732 0.732


Which DFT formation energy belongs to each record? In order, 0.25; 0.02 eV per atom.
Which offset from the most stable computed form belongs to each record? In order, 0.243; 0.000 eV per atom.